A | First-principles (PBE) data for Pr3ErTm2 after structural relaxation, as listed in Alexandria.

Cell: 3.4902 5.9562 19.5919 Å, 90.00 90.00 90.00°
Space group Immm (No. 71)
Symmetry-distinct sites (fractional):
Pr 0.0000 0.0000 0.0000
Pr 0.0000 0.5000 0.1880
Er 0.0000 0.5000 0.0000
Tm 0.0000 0.5000 0.3626

Summary:
Total magnetization, μB/f.u.: 0.0
Calculated density, g/cm³: 7.57

---

B | First-principles (PBE) data for Pr3ErTm2 after structural relaxation, as listed in Alexandria.

Cell: 13.2320 3.5536 17.7434 Å, 90.00 102.48 90.00°
Space group C2/m (No. 12)
Symmetry-distinct sites (fractional):
Pr 0.0689 0.0000 0.1697
Pr 0.1277 0.5000 0.9901
Pr 0.2364 0.5000 0.3388
Er 0.0402 0.5000 0.6811
Tm 0.1321 0.5000 0.5006
Tm 0.1954 0.0000 0.8334

Summary:
Total magnetization, μB/f.u.: 0.0
Calculated density, g/cm³: 7.57

---

Stability, lowest: A

---

A | First-principles (PBE) data for Pr2Er9Tm after structural relaxation, as listed in Alexandria.

Cell: 11.2009 11.2009 3.4792 Å, 90.00 90.00 120.00°
Space group P6/mmm (No. 191)
Symmetry-distinct sites (fractional):
Pr 0.3333 0.6667 0.0000
Er 0.0000 0.5000 0.0000
Er 0.1729 0.3457 0.5000
Tm 0.0000 0.0000 0.0000

Summary:
Total magnetization, μB/f.u.: 0.1
Calculated density, g/cm³: 8.59

---

B | First-principles (PBE) data for Pr2Er9Tm after structural relaxation, as listed in Alexandria.

Cell: 5.0095 5.0095 15.0191 Å, 90.00 90.00 90.00°
Space group P4/mmm (No. 123)
Symmetry-distinct sites (fractional):
Pr 0.0000 0.0000 0.1673
Er 0.0000 0.5000 0.0000
Er 0.0000 0.5000 0.3368
Er 0.5000 0.5000 0.1688
Er 0.5000 0.5000 0.5000
Tm 0.0000 0.0000 0.5000

Summary:
Total magnetization, μB/f.u.: 0.0
Calculated density, g/cm³: 8.62

---

Stability, lowest: A